No. 1
Compound: TmTlSnS3
Source: OQMD
Functional: PBE-GGA
Structure: relaxed

Computed properties:
- M_tot (μB/f.u.) = 0.00
- SG = No. 62
- uncorrected energy (eV/atom) = -4.9935
- polymorph energy (0 for the lowest one) (meV/atom) = 0

a = 14.5270 Å, b = 3.9567 Å, c = 11.9451 Å
α = 90.00°, β = 90.00°, γ = 90.00°
Element x y z (fractional)
Tl1 0.7637 0.2500 0.4014
Tl2 0.7363 0.7500 0.9014
Tl3 0.2363 0.7500 0.5986
Tl4 0.2637 0.2500 0.0986
S1 0.1371 0.2500 0.3049
S2 0.3990 0.2500 0.5419
S3 0.9170 0.7500 0.2621
S4 0.8629 0.7500 0.6951
S5 0.6371 0.2500 0.1951
S6 0.6010 0.7500 0.4581
S7 0.4170 0.7500 0.2379
S8 0.8990 0.2500 0.9581
S9 0.1010 0.7500 0.0419
S10 0.3629 0.7500 0.8049
S11 0.0830 0.2500 0.7379
S12 0.5830 0.2500 0.7621
Sn1 0.0507 0.7500 0.4022
Sn2 0.5507 0.7500 0.0978
Sn3 0.4493 0.2500 0.9022
Sn4 0.9493 0.2500 0.5978
Tm1 0.9982 0.7500 0.8579
Tm2 0.5018 0.2500 0.3579
Tm3 0.4982 0.7500 0.6421
Tm4 0.0018 0.2500 0.1421

No. 2
Compound: Ba3Tl4Pd4
Source: OQMD
Functional: PBE-GGA
Structure: relaxed

Computed properties:
- SG = No. 71
- uncorrected energy (eV/atom) = -3.7425

a = 9.1784 Å, b = 9.1784 Å, c = 9.1784 Å
α = 150.98°, β = 125.78°, γ = 62.67°
Element x y z (fractional)
Pd1 0.8187 0.5000 0.3187
Pd2 0.2840 0.7840 0.5000
Pd3 0.7160 0.2160 0.5000
Pd4 0.1813 0.5000 0.6813
Ba1 0.1239 0.1239 0.0000
Ba2 0.8761 0.8761 0.0000
Ba3 0.5000 0.0000 0.5000
Tl1 0.4740 0.6696 0.8044
Tl2 0.1348 0.3304 0.8044
Tl3 0.5260 0.3304 0.1956
Tl4 0.8652 0.6696 0.1956

No. 3
Compound: ErTm2In3NiAg2
Source: OQMD
Functional: PBE-GGA
Structure: relaxed

Computed properties:
- M_tot (μB/f.u.) = 0.00
- SG = No. 38
- uncorrected energy (eV/atom) = -4.1106

a = 3.7985 Å, b = 7.7408 Å, c = 7.7408 Å
α = 120.06°, β = 90.00°, γ = 90.00°
Element x y z (fractional)
Tm1 0.0000 0.0000 0.6018
Tm2 0.0000 0.6018 0.0000
Er1 0.0000 0.3987 0.3987
In1 0.5000 0.2497 0.9998
In2 0.5000 0.7502 0.7502
In3 0.5000 0.9998 0.2497
Ag1 0.5000 0.3330 0.6673
Ag2 0.5000 0.6673 0.3330
Ni1 0.0000 0.9995 0.9995

No. 4
Compound: HfZnCuSb
Source: OQMD
Functional: PBE-GGA
Structure: relaxed

Computed properties:
- M_tot (μB/f.u.) = 0.01
- SG = No. 216
- uncorrected energy (eV/atom) = -4.6171
- polymorph energy (0 for the lowest one) (meV/atom) = 0

a = 4.7350 Å, b = 4.7350 Å, c = 4.7350 Å
α = 60.00°, β = 60.00°, γ = 60.00°
Element x y z (fractional)
Hf1 0.2500 0.2500 0.2500
Sb1 0.0000 0.0000 0.0000
Cu1 0.7500 0.7500 0.7500
Zn1 0.5000 0.5000 0.5000

No. 5
Compound: Li2ScSn2Au
Source: OQMD
Functional: PBE-GGA
Structure: relaxed

Computed properties:
- M_tot (μB/f.u.) = 0.00
- SG = No. 187
- uncorrected energy (eV/atom) = -3.9530

a = 4.9092 Å, b = 4.9092 Å, c = 6.0201 Å
α = 90.00°, β = 90.00°, γ = 120.00°
Element x y z (fractional)
Sc1 0.3333 0.6667 0.5000
Sn1 0.0000 0.0000 0.5000
Sn2 0.3333 0.6667 0.0000
Li1 0.6667 0.3333 0.2441
Li2 0.6667 0.3333 0.7559
Au1 0.0000 0.0000 0.0000

No. 6
Compound: Li4InReO6
Source: OQMD
Functional: PBE-GGA
Structure: relaxed

Computed properties:
- M_tot (μB/f.u.) = 2.00
- SG = No. 5
- uncorrected energy (eV/atom) = -6.1119

a = 5.3023 Å, b = 5.3023 Å, c = 5.1472 Å
α = 99.95°, β = 99.95°, γ = 119.96°
Element x y z (fractional)
In1 0.8340 0.1660 0.0000
Li1 0.6562 0.3438 0.5000
Li2 0.4999 0.5001 0.0000
Li3 0.0094 0.9906 0.5000
Li4 0.3382 0.6618 0.5000
O1 0.9357 0.6048 0.2335
O2 0.2464 0.2223 0.2426
O3 0.3952 0.0643 0.7665
O4 0.7777 0.7536 0.7574
O5 0.5533 0.9133 0.2412
O6 0.0867 0.4467 0.7588
Re1 0.1673 0.8327 0.0000

No. 7
Compound: Zr2CoSi
Source: OQMD
Functional: PBE-GGA
Structure: relaxed

Computed properties:
- M_tot (μB/f.u.) = 0.04
- SG = No. 11
- uncorrected energy (eV/atom) = -7.9693

a = 5.2417 Å, b = 3.7125 Å, c = 7.1330 Å
α = 90.00°, β = 90.83°, γ = 90.00°
Element x y z (fractional)
Si1 0.3622 0.2500 0.0390
Si2 0.6378 0.7500 0.9610
Co1 0.1259 0.2500 0.5321
Co2 0.8741 0.7500 0.4679
Zr1 0.1212 0.7500 0.8089
Zr2 0.8788 0.2500 0.1911
Zr3 0.3882 0.7500 0.3302
Zr4 0.6118 0.2500 0.6698

No. 8
Compound: LuZnFeBi
Source: OQMD
Functional: PBE-GGA
Structure: relaxed

Computed properties:
- M_tot (μB/f.u.) = 1.83
- SG = No. 216
- uncorrected energy (eV/atom) = -4.4157
- polymorph energy (0 for the lowest one) (meV/atom) = 7

a = 4.8483 Å, b = 4.8483 Å, c = 4.8483 Å
α = 60.00°, β = 60.00°, γ = 60.00°
Element x y z (fractional)
Bi1 0.0000 0.0000 0.0000
Fe1 0.7500 0.7500 0.7500
Zn1 0.2500 0.2500 0.2500
Lu1 0.5000 0.5000 0.5000

No. 9
Compound: CuGeMoIr
Source: OQMD
Functional: PBE-GGA
Structure: relaxed

Computed properties:
- M_tot (μB/f.u.) = 0.04
- SG = No. 216
- uncorrected energy (eV/atom) = -6.8846
- polymorph energy (0 for the lowest one) (meV/atom) = 0

a = 4.3595 Å, b = 4.3595 Å, c = 4.3595 Å
α = 60.00°, β = 60.00°, γ = 60.00°
Element x y z (fractional)
Ir1 0.5000 0.5000 0.5000
Ge1 0.0000 0.0000 0.0000
Mo1 0.2500 0.2500 0.2500
Cu1 0.7500 0.7500 0.7500

No. 10
Compound: LiPaW
Source: OQMD
Functional: PBE-GGA
Structure: relaxed

Computed properties:
- M_tot (μB/f.u.) = 0.00
- SG = No. 216
- uncorrected energy (eV/atom) = -7.2376
- polymorph energy (0 for the lowest one) (meV/atom) = 0

a = 4.4169 Å, b = 4.4169 Å, c = 4.4169 Å
α = 60.00°, β = 60.00°, γ = 60.00°
Element x y z (fractional)
Pa1 0.7500 0.7500 0.7500
Li1 0.2500 0.2500 0.2500
W1 0.0000 0.0000 0.0000

No. 11
Compound: Sr3TaZn5
Source: OQMD
Functional: PBE-GGA
Structure: relaxed

Computed properties:
- M_tot (μB/f.u.) = 0.03
- SG = No. 189
- uncorrected energy (eV/atom) = -2.4725

a = 7.5736 Å, b = 7.5736 Å, c = 4.3927 Å
α = 90.00°, β = 90.00°, γ = 120.00°
Element x y z (fractional)
Zn1 0.2219 0.0000 0.5000
Zn2 0.3333 0.6667 0.5000
Zn3 0.6667 0.3333 0.5000
Zn4 0.0000 0.2219 0.5000
Zn5 0.7781 0.7781 0.5000
Sr1 0.5771 0.0000 0.0000
Sr2 0.0000 0.5771 0.0000
Sr3 0.4229 0.4229 0.0000
Ta1 0.0000 0.0000 0.0000

No. 12
Compound: Li2AgHg
Source: OQMD
Functional: PBE-GGA
Structure: relaxed

Computed properties:
- SG = No. 216
- uncorrected energy (eV/atom) = -1.9994

a = 4.6252 Å, b = 4.6252 Å, c = 4.6252 Å
α = 60.00°, β = 60.00°, γ = 60.00°
Element x y z (fractional)
Ag1 0.7500 0.7500 0.7500
Li1 0.5000 0.5000 0.5000
Li2 0.2500 0.2500 0.2500
Hg1 0.0000 0.0000 0.0000

No. 13
Compound: Sm2Ho2CI2Br3
Source: OQMD
Functional: PBE-GGA
Structure: relaxed

Computed properties:
- M_tot (μB/f.u.) = 0.01
- SG = No. 12
- uncorrected energy (eV/atom) = -4.8843
- polymorph energy (0 for the lowest one) (meV/atom) = 7

a = 9.4967 Å, b = 9.4967 Å, c = 8.2416 Å
α = 101.69°, β = 101.69°, γ = 23.56°
Element x y z (fractional)
Br1 0.1537 0.1537 0.3406
Br2 0.8463 0.8463 0.6594
Br3 0.5000 0.5000 0.5000
Sm1 0.3638 0.3638 0.9287
Sm2 0.6362 0.6362 0.0713
Ho1 0.0013 0.0013 0.8028
Ho2 0.9987 0.9987 0.1972
I1 0.8300 0.8300 0.1999
I2 0.1700 0.1700 0.8001
C1 0.5000 0.5000 0.0000

No. 14
Compound: LiZnSb
Source: OQMD
Functional: PBE-GGA
Structure: relaxed

Computed properties:
- SG = No. 189
- uncorrected energy (eV/atom) = -2.7398

a = 7.0886 Å, b = 7.0886 Å, c = 4.2577 Å
α = 90.00°, β = 90.00°, γ = 120.00°
Element x y z (fractional)
Zn1 0.0000 0.2607 0.5000
Zn2 0.7392 0.7393 0.5000
Zn3 0.2608 0.0000 0.5000
Sb1 0.0000 0.0000 0.0000
Sb2 0.6667 0.3333 0.5000
Sb3 0.3333 0.6667 0.5000
Li1 0.5801 0.0000 0.0000
Li2 0.0000 0.5801 0.0000
Li3 0.4199 0.4199 0.0000

No. 15
Compound: MoI2
Source: OQMD
Functional: PBE-GGA
Structure: relaxed

Computed properties:
- M_tot (μB/f.u.) = 3.62
- SG = No. 136
- uncorrected energy (eV/atom) = -4.2988
- polymorph energy (0 for the lowest one) (meV/atom) = 719

a = 7.0707 Å, b = 7.0707 Å, c = 4.1616 Å
α = 90.00°, β = 90.00°, γ = 90.00°
Element x y z (fractional)
Mo1 0.0000 0.0000 0.0000
Mo2 0.5000 0.5000 0.5000
I1 0.1950 0.8050 0.5000
I2 0.3050 0.3050 0.0000
I3 0.6950 0.6950 0.0000
I4 0.8050 0.1950 0.5000

No. 16
Compound: Nd2SmCo2B2C3
Source: OQMD
Functional: PBE-GGA
Structure: relaxed

Computed properties:
- M_tot (μB/f.u.) = 1.40
- SG = No. 139
- uncorrected energy (eV/atom) = -7.1092

a = 10.7071 Å, b = 10.7071 Å, c = 10.7071 Å
α = 160.23°, β = 160.23°, γ = 28.11°
Element x y z (fractional)
C1 0.8749 0.8749 0.0000
C2 0.5000 0.5000 0.0000
C3 0.1251 0.1251 0.0000
Nd1 0.3723 0.3723 0.0000
Nd2 0.6277 0.6277 0.0000
B1 0.8022 0.8022 0.0000
B2 0.1978 0.1978 0.0000
Co1 0.2500 0.7500 0.5000
Co2 0.7500 0.2500 0.5000
Sm1 0.0000 0.0000 0.0000

No. 17
Compound: TaBi2Au2
Source: OQMD
Functional: PBE-GGA
Structure: relaxed

Computed properties:
- M_tot (μB/f.u.) = 0.99
- SG = No. 139
- uncorrected energy (eV/atom) = -4.5216
- polymorph energy (0 for the lowest one) (meV/atom) = 0

a = 7.4521 Å, b = 7.4521 Å, c = 7.4521 Å
α = 148.66°, β = 148.66°, γ = 44.91°
Element x y z (fractional)
Au1 0.2500 0.7500 0.5000
Au2 0.7500 0.2500 0.5000
Bi1 0.3956 0.3956 0.0000
Bi2 0.6044 0.6044 0.0000
Ta1 0.0000 0.0000 0.0000

No. 18
Compound: Li2Zn2InGaAu2
Source: OQMD
Functional: PBE-GGA
Structure: relaxed

Computed properties:
- SG = No. 115
- uncorrected energy (eV/atom) = -2.6657

a = 4.5271 Å, b = 4.5271 Å, c = 6.4087 Å
α = 90.00°, β = 90.00°, γ = 90.00°
Element x y z (fractional)
Zn1 0.5000 0.5000 0.0000
Zn2 0.0000 0.0000 0.5000
Li1 0.0000 0.5000 0.7666
Li2 0.5000 0.0000 0.2334
Au1 0.0000 0.5000 0.2340
Au2 0.5000 0.0000 0.7660
In1 0.5000 0.5000 0.5000
Ga1 0.0000 0.0000 0.0000

No. 19
Compound: TlAsPtO
Source: OQMD
Functional: PBE-GGA
Structure: relaxed

Computed properties:
- M_tot (μB/f.u.) = 0.00
- SG = No. 26
- uncorrected energy (eV/atom) = -4.5603
- polymorph energy (0 for the lowest one) (meV/atom) = 221

a = 3.9325 Å, b = 6.9922 Å, c = 6.3354 Å
α = 90.00°, β = 90.00°, γ = 90.00°
Element x y z (fractional)
O1 0.5000 0.7887 0.4333
O2 0.5000 0.2113 0.9333
Pt1 0.0000 0.2871 0.9579
Pt2 0.0000 0.7129 0.4579
As1 0.0000 0.6108 0.8242
As2 0.0000 0.3892 0.3242
Tl1 0.5000 0.1439 0.5386
Tl2 0.5000 0.8561 0.0386

No. 20
Compound: ScHgO3
Source: OQMD
Functional: PBE-GGA
Structure: relaxed

Computed properties:
- M_tot (μB/f.u.) = 1.00
- SG = No. 62
- uncorrected energy (eV/atom) = -5.9227

a = 5.5177 Å, b = 5.7048 Å, c = 8.0012 Å
α = 90.00°, β = 90.00°, γ = 90.00°
Element x y z (fractional)
O1 0.1894 0.1932 0.5638
O2 0.3106 0.6932 0.5638
O3 0.6162 0.0618 0.7500
O4 0.8838 0.5618 0.7500
O5 0.6894 0.3068 0.4362
O6 0.1894 0.1932 0.9362
O7 0.3106 0.6932 0.9362
O8 0.3838 0.9382 0.2500
O9 0.8106 0.8068 0.0638
O10 0.1162 0.4382 0.2500
O11 0.6894 0.3068 0.0638
O12 0.8106 0.8068 0.4362
Hg1 0.5189 0.5584 0.2500
Hg2 0.4811 0.4416 0.7500
Hg3 0.9811 0.0584 0.2500
Hg4 0.0189 0.9416 0.7500
Sc1 0.5000 0.0000 0.0000
Sc2 0.0000 0.5000 0.0000
Sc3 0.0000 0.5000 0.5000
Sc4 0.5000 0.0000 0.5000